No. 1
SrP2Ir | PBE | optimized geometry

a b c (Å): 6.701 6.701 6.701
angles (deg): 90.00 90.00 90.00
Space group F-43m (No. 216)
One atom of each set of equivalent atoms:
Sr: 0.000 0.000 0.000 [4 per cell]
P: 0.000 0.000 0.500 [4 per cell]
P: 0.250 0.250 0.750 [4 per cell]
Ir: 0.250 0.250 0.250 [4 per cell]

E_form in eV/atom: 0.4498
Offset from the most stable computed form in kJ/mol of formula units: 476.3
Density of states at the Fermi level in states/eV per cell: 12.45

---

No. 2
SrPIr2 | PBE | optimized geometry

a b c (Å): 2.902 4.886 5.038
angles (deg): 90.00 90.00 90.00
Space group Pmmm (No. 47)
One atom of each set of equivalent atoms:
Sr: 0.000 0.000 0.000 [1 per cell]
P: 0.500 0.500 0.000 [1 per cell]
Ir: 0.000 0.500 0.500 [1 per cell]
Ir: 0.500 0.000 0.500 [1 per cell]

E_form in eV/atom: 0.3866
Density of states at the Fermi level in states/eV per cell: 5.82

---

No. 3
SrPIr2 | PBE | optimized geometry

a b c (Å): 4.165 4.165 4.086
angles (deg): 90.00 90.00 90.00
Space group P4/mmm (No. 123)
One atom of each set of equivalent atoms:
Sr: 0.000 0.000 0.000 [1 per cell]
P: 0.500 0.500 0.000 [1 per cell]
Ir: 0.000 0.500 0.500 [2 per cell]

E_form in eV/atom: 0.3238
Density of states at the Fermi level in states/eV per cell: 3.57